1 | This record from Alexandria via LeMat-Bulk describes a relaxed TeSeNF2 crystal. The functional is PBE.

The structure belongs to space group P4/mmm (No. 123); the cell edges are 4.316, 4.316 and 4.364 Å and the angles 90.00°, 90.00° and 90.00°. The asymmetric unit holds Te at (0.000, 0.000, 0.000), Se at (0.500, 0.500, 0.500), N at (0.000, 0.000, 0.500) and F at (0.000, 0.500, 0.000).

The calculation puts the density of states at the Fermi level at 0.71 states/eV per atom.

2 | This record from Alexandria via LeMat-Bulk describes a relaxed TeSeNF2 crystal. The functional is PBE.

The structure belongs to space group P4/mmm (No. 123); the cell edges are 4.878, 4.878 and 3.601 Å and the angles 90.00°, 90.00° and 90.00°. The asymmetric unit holds Te at (0.000, 0.000, 0.000), Se at (0.500, 0.500, 0.500), N at (0.500, 0.500, 0.000) and F at (0.000, 0.500, 0.500).

The calculation puts the density of states at the Fermi level at 0.43 states/eV per atom.

Most stable: 1. Least stable: 2.

1 | This record from Alexandria via LeMat-Bulk describes a relaxed Te2SeNF crystal. The functional is PBE.

The structure belongs to space group P4/mmm (No. 123); the cell edges are 4.990, 4.990 and 3.902 Å and the angles 90.00°, 90.00° and 90.00°. The asymmetric unit holds Te at (0.000, 0.500, 0.000), Se at (0.000, 0.000, 0.500), N at (0.500, 0.500, 0.500) and F at (0.500, 0.500, 0.000).

The calculation puts the density of states at the Fermi level at 0.90 states/eV per atom.

2 | This record from Alexandria via LeMat-Bulk describes a relaxed Te2SeNF crystal. The functional is PBE.

The structure belongs to space group P4/mmm (No. 123); the cell edges are 5.670, 5.670 and 3.608 Å and the angles 90.00°, 90.00° and 90.00°. The asymmetric unit holds Te at (0.000, 0.500, 0.000), Se at (0.000, 0.000, 0.000), N at (0.000, 0.000, 0.500) and F at (0.500, 0.500, 0.500).

The calculation puts the density of states at the Fermi level at 1.33 states/eV per atom.

Most stable: 2. Least stable: 1.